Here is a geometry-optimized DyHoThCd structure from Alexandria via LeMat-Bulk. Energies are from PBE.

a = 3.6066 Å, b = 3.6066 Å, c = 8.8296 Å
α = 90.00°, β = 90.00°, γ = 90.00°
With the nearest neighbours (Å) after each atom.
Space group P4mm (No. 99)
One atom of each set of equivalent atoms:
Dy 0.0000 0.0000 0.0000 (multiplicity 1)  4 Cd 3.27, 4 Th 3.49, 4 Dy 3.61
Ho 0.0000 0.0000 0.4607 (multiplicity 1)  4 Cd 3.25, 4 Th 3.49, 4 Ho 3.61
Th 0.5000 0.5000 0.7297 (multiplicity 1)  4 Ho 3.49, 4 Dy 3.49, 4 Th 3.61
Cd 0.5000 0.5000 0.2319 (multiplicity 1)  4 Ho 3.25, 4 Dy 3.27, 4 Cd 3.61

Output
- energy of formation from the pure elements (eV per atom) = -0.164
- electronic total energy (eV for the cell shown) = -18.172

Here is a geometry-optimized Y6Te2P structure from Alexandria via LeMat-Bulk. Energies are from PBE.

a = 21.5832 Å, b = 4.0455 Å, c = 11.4115 Å
α = 90.00°, β = 90.00°, γ = 90.00°
With the nearest neighbours (Å) after each atom.
Space group Pnma (No. 62)
One atom of each set of equivalent atoms:
Y 0.0067 0.2500 0.1154 (multiplicity 4)  1 Te 3.12, 1 P 3.29, 4 Y 3.30-3.33
Y 0.0251 0.7500 0.3838 (multiplicity 4)  3 P 2.84-2.98, 2 Te 3.14
Y 0.1094 0.2500 0.8206 (multiplicity 4)  2 P 3.09, 3 Y 3.30, 1 Te 3.33
Y 0.1418 0.7500 0.0717 (multiplicity 4)  4 Te 3.15-3.16
Y 0.1498 0.2500 0.5413 (multiplicity 4)  2 P 2.89, 3 Te 3.04-3.20
Y 0.2367 0.7500 0.7563 (multiplicity 4)  4 Te 3.06-3.28
Te 0.1221 0.2500 0.2800 (multiplicity 4)  7 Y 3.04-3.15
Te 0.2411 0.2500 0.9720 (multiplicity 4)  8 Y 3.16-3.33
P 0.0669 0.7500 0.6322 (multiplicity 4)  7 Y 2.84-3.09

Output
- E_form (uncorrected) (meV per atom) = -952.3
- electronic total energy (eV for the cell shown) = -236.193

Here is a geometry-optimized YMoPt2 structure from Alexandria via LeMat-Bulk. Energies are from PBE.

a = 4.8199 Å, b = 4.8199 Å, c = 16.2937 Å
α = 90.00°, β = 90.00°, γ = 90.00°
With the nearest neighbours (Å) after each atom.
Space group I-42d (No. 122)
One atom of each set of equivalent atoms:
Y 0.0000 0.0000 0.0000 (multiplicity 4)  4 Pt 2.88
Mo 0.0000 0.0000 0.5000 (multiplicity 4)  4 Pt 2.49
Pt 0.1605 0.2500 0.6250 (multiplicity 8)  2 Mo 2.49

Output
- energy of formation from the pure elements (eV per atom) = 0.088
- electronic total energy (eV for the cell shown) = -116.106

Here is a geometry-optimized La6AsPd2Br3 structure from Alexandria via LeMat-Bulk. Energies are from PBE.

a = 7.5347 Å, b = 12.9971 Å, c = 7.7575 Å
α = 90.00°, β = 108.94°, γ = 90.00°
With the nearest neighbours (Å) after each atom.
Space group C2/m (No. 12)
One atom of each set of equivalent atoms:
La 0.2340 0.0000 0.2176 (multiplicity 4)  2 Pd 2.97, 1 As 3.01, 3 Br 3.21-3.23
La 0.2446 0.3311 0.2224 (multiplicity 8)  2 Pd 2.97, 1 As 3.02, 3 Br 3.24-3.26
As 0.0000 0.5000 0.0000 (multiplicity 2)  6 La 3.01-3.02
Pd 0.0000 0.1682 0.0000 (multiplicity 4)  6 La 2.97
Br 0.0000 0.0000 0.5000 (multiplicity 2)  6 La 3.23-3.24
Br 0.0000 0.3400 0.5000 (multiplicity 4)  6 La 3.21-3.26

Output
- E_form (uncorrected) (meV per atom) = -1196.7
- electronic total energy (eV for the cell shown) = -127.958

> What is the electronic total energy in the first record?

-18.172 eV for the cell shown

> Among the records above, which one has the lowest electronic total energy?

Y6Te2P

> Number 3 is which compound?

YMoPt2